# 1
Density functional theory data (PBE-GGA) for crystalline YC at its relaxed geometry.

The space group is Cmmm (No. 65) and the conventional cell measures 3.8397, 5.1563 and 3.2255 Å, with angles of 90.00, 90.00 and 90.00 degrees. The distinct sites, in fractional coordinates, are Y at (0.0000, 0.0000, 0.0000) and C at (0.0000, 0.5000, 0.5000).

The energy is -29.4 eV for the cell shown. The energy above the most stable polymorph in this dataset comes out at 707 meV/atom. The total magnetization is 0.0000 μB/atom. The energy of formation from the pure elements comes out at 0.492 eV per atom.

---

# 2
Density functional theory data (PBE-GGA) for crystalline Ni4BP at its relaxed geometry.

The space group is P4/mmm (No. 123) and the conventional cell measures 3.5398, 3.5398 and 5.1665 Å, with angles of 90.00, 90.00 and 90.00 degrees. The distinct sites, in fractional coordinates, are Ni at (0.0000, 0.5000, 0.2344), B at (0.0000, 0.0000, 0.0000) and P at (0.5000, 0.5000, 0.5000).

The energy is -37.3 eV for the cell shown. The energy above the most stable polymorph in this dataset comes out at 0 meV/atom. The total magnetization is 0.0000 μB/atom. The energy of formation from the pure elements comes out at -0.355 eV per atom.

---

# 3
Density functional theory data (PBE-GGA) for crystalline FeNi5Pd12 at its relaxed geometry.

The space group is C2/m (No. 12) and the conventional cell measures 11.1325, 11.7186 and 3.9002 Å, with angles of 90.00, 90.00 and 90.00 degrees. The distinct sites, in fractional coordinates, are Fe at (0.0000, 0.0000, 0.0000), Ni at (0.0000, 0.1647, 0.5000), Ni at (0.0000, 0.3326, 0.0000), Ni at (0.0000, 0.5000, 0.5000), Pd at (0.1555, 0.5000, 0.9968), Pd at (0.1568, 0.3328, 0.5030), Pd at (0.1576, 0.1663, 0.9973) and Pd at (0.1592, 0.0000, 0.5044).

The energy is -200.5 eV for the cell shown. The total magnetization is 0.6100 μB/atom. The energy of formation from the pure elements comes out at -0.032 eV per atom.

---

# 4
Density functional theory data (PBE-GGA) for crystalline BaBe2P2 at its relaxed geometry.

The space group is I4/mmm (No. 139) and the conventional cell measures 3.7641, 3.7641 and 12.8752 Å, with angles of 90.00, 90.00 and 90.00 degrees. The distinct sites, in fractional coordinates, are Ba at (0.0000, 0.0000, 0.0000), Be at (0.0000, 0.5000, 0.2500) and P at (0.0000, 0.0000, 0.3459).

The energy is -47.4 eV for the cell shown. The total magnetization is 0.0000 μB/atom. The energy of formation from the pure elements comes out at -0.703 eV per atom.

---

# 5
Density functional theory data (PBE-GGA) for crystalline BeNiSe at its relaxed geometry.

The space group is P1 (No. 1) and the conventional cell measures 3.4420, 4.0948 and 7.6050 Å, with angles of 76.72, 88.70 and 65.23 degrees. The distinct sites, in fractional coordinates, are Be at (0.0000, 0.0000, 0.0000), Be at (0.3294, 0.3317, 0.0908), Ni at (0.3670, 0.2878, 0.7912), Ni at (0.6952, 0.6164, 0.9364), Se at (0.0465, 0.9391, 0.6911) and Se at (0.6185, 0.7338, 0.2297).

The energy is -27.7 eV for the cell shown. The raw formation energy is -292 meV/atom. The total magnetization is 0.0000 μB/atom.

---

# 6
Density functional theory data (PBE-GGA) for crystalline HIrS2 at its relaxed geometry.

The space group is Cmcm (No. 63) and the conventional cell measures 3.6604, 21.1376 and 3.1606 Å, with angles of 90.00, 90.00 and 90.00 degrees. The distinct sites, in fractional coordinates, are H at (0.0000, 0.0685, 0.2500), Ir at (0.0000, 0.3273, 0.2500), S at (0.0000, 0.0919, 0.7500) and S at (0.0000, 0.2125, 0.2500).

The energy is -77.2 eV for the cell shown. The energy above the most stable polymorph in this dataset comes out at 580 meV/atom. The total magnetization is 0.0000 μB/atom.

---

# 7
Density functional theory data (PBE-GGA) for crystalline KMnTc2B at its relaxed geometry.

The space group is P4/mmm (No. 123) and the conventional cell measures 4.3678, 4.3678 and 5.5701 Å, with angles of 90.00, 90.00 and 90.00 degrees. The distinct sites, in fractional coordinates, are K at (0.0000, 0.0000, 0.0000), Mn at (0.0000, 0.0000, 0.5000), Tc at (0.0000, 0.5000, 0.5000) and B at (0.5000, 0.5000, 0.0000).

The energy is -26.4 eV for the cell shown. The total magnetization is 0.0016 μB/atom. The energy of formation from the pure elements comes out at 2.255 eV per atom.

---

# 8
Density functional theory data (PBE-GGA) for crystalline Ba2OsCl at its relaxed geometry.

The space group is Imm2 (No. 44) and the conventional cell measures 3.8438, 3.9907 and 17.0875 Å, with angles of 90.00, 90.00 and 90.00 degrees. The distinct sites, in fractional coordinates, are Ba at (0.0000, 0.0000, 0.0000), Ba at (0.0000, 0.5000, 0.2714), Os at (0.0000, 0.0000, 0.4045) and Cl at (0.0000, 0.5000, 0.6653).

The energy is -35.7 eV for the cell shown. The energy above the most stable polymorph in this dataset comes out at 106 meV/atom. The raw formation energy is -236 meV/atom. The total magnetization is 0.0681 μB/atom.

---

# 9
Density functional theory data (PBE-GGA) for crystalline La2AlCdB at its relaxed geometry.

The space group is P4/mmm (No. 123) and the conventional cell measures 6.0141, 6.0141 and 4.0659 Å, with angles of 90.00, 90.00 and 90.00 degrees. The distinct sites, in fractional coordinates, are La at (0.0000, 0.5000, 0.0000), Al at (0.0000, 0.0000, 0.5000), Cd at (0.5000, 0.5000, 0.0000) and B at (0.5000, 0.5000, 0.5000).

The energy is -18.1 eV for the cell shown. The total magnetization is 0.0834 μB/atom. The energy of formation from the pure elements comes out at 0.616 eV per atom.

---

# 10
Density functional theory data (PBE-GGA) for crystalline ErZrAgHg at its relaxed geometry.

The space group is F-43m (No. 216) and the conventional cell measures 7.1322, 7.1322 and 7.1322 Å, with angles of 90.00, 90.00 and 90.00 degrees. The distinct sites, in fractional coordinates, are Er at (0.0000, 0.0000, 0.0000), Zr at (0.0000, 0.0000, 0.5000), Ag at (0.2500, 0.2500, 0.2500) and Hg at (0.2500, 0.2500, 0.7500).

The energy is -68.0 eV for the cell shown. The total magnetization is 0.2541 μB/atom. The energy of formation from the pure elements comes out at -0.187 eV per atom.

---

# 11
Density functional theory data (PBE-GGA) for crystalline BaAlAu3 at its relaxed geometry.

The space group is Pm-3m (No. 221) and the conventional cell measures 5.0618, 5.0618 and 5.0618 Å, with angles of 90.00, 90.00 and 90.00 degrees. The distinct sites, in fractional coordinates, are Ba at (0.0000, 0.0000, 0.0000), Al at (0.5000, 0.5000, 0.5000) and Au at (0.0000, 0.5000, 0.5000).

The energy is -18.2 eV for the cell shown. The energy above the most stable polymorph in this dataset comes out at 39 meV/atom. The total magnetization is 0.0000 μB/atom. The energy of formation from the pure elements comes out at -0.538 eV per atom.

---

# 12
Density functional theory data (PBE-GGA) for crystalline BaBeTlFe2 at its relaxed geometry.

The space group is P4/mmm (No. 123) and the conventional cell measures 5.1487, 5.1487 and 4.6446 Å, with angles of 90.00, 90.00 and 90.00 degrees. The distinct sites, in fractional coordinates, are Ba at (0.0000, 0.0000, 0.0000), Be at (0.5000, 0.5000, 0.0000), Tl at (0.5000, 0.5000, 0.5000) and Fe at (0.0000, 0.5000, 0.5000).

The energy is -20.0 eV for the cell shown. The total magnetization is 1.0245 μB/atom. The energy of formation from the pure elements comes out at 0.989 eV per atom.